Density functional theory data (GGA-PBE) for an optimized crystal structure of Si2TeRh.

## Properties
**Space-group type**: Amm2
**DOS(E_F)**: 3.1 states/eV/cell
**Formation energy (no corrections)**: -0.2 eV per formula unit
**M_tot**: 0.00 μB/f.u.

abc: 4.1890 5.0640 7.2647
angles: 90.00 90.00 90.00
Closest atoms and distances in Å follow each position.
Positions (direct):
Si  0.0000  0.0000  0.0000  2 Rh 2.43, 2 Si 2.55, 2 Te 2.65
Si  0.0000  0.5000  0.5000  2 Rh 2.43, 2 Si 2.55, 2 Te 2.65
Si  0.5000  0.0000  0.2004  2 Si 2.55, 3 Rh 2.70
Si  0.5000  0.5000  0.7004  2 Si 2.55, 3 Rh 2.70
Te  0.0000  0.0000  0.6080  2 Rh 2.64, 3 Si 2.65-2.85
Te  0.0000  0.5000  0.1080  2 Rh 2.64, 3 Si 2.65-2.85
Rh  0.5000  0.0000  0.8292  5 Si 2.43-2.70, 2 Te 2.64
Rh  0.5000  0.5000  0.3292  5 Si 2.43-2.70, 2 Te 2.64

=====

Density functional theory data (GGA-PBE) for an optimized crystal structure of Si2TeRh.

## Properties
**Space-group type**: I-42d
**DOS(E_F)**: 8.5 states/eV/cell
**Formation energy (no corrections)**: 0.0 eV per formula unit
**M_tot**: 0.00 μB/f.u.

abc: 5.7471 5.7471 11.5066
angles: 90.00 90.00 90.00
Closest atoms and distances in Å follow each position.
Positions (direct):
Si  0.1814  0.2500  0.1250  2 Rh 2.28
Si  0.2500  0.6814  0.3750  2 Rh 2.28
Si  0.2500  0.8186  0.8750  2 Rh 2.28
Si  0.3186  0.2500  0.6250  2 Rh 2.28
Si  0.6814  0.7500  0.6250  2 Rh 2.28
Si  0.7500  0.1814  0.8750  2 Rh 2.28
Si  0.7500  0.3186  0.3750  2 Rh 2.28
Si  0.8186  0.7500  0.1250  2 Rh 2.28
Te  0.0000  0.0000  0.5000  4 Si 2.74
Te  0.0000  0.5000  0.7500  4 Si 2.74
Te  0.5000  0.0000  0.2500  4 Si 2.74
Te  0.5000  0.5000  0.0000  4 Si 2.74
Rh  0.0000  0.0000  0.0000  4 Si 2.28
Rh  0.0000  0.5000  0.2500  4 Si 2.28
Rh  0.5000  0.0000  0.7500  4 Si 2.28
Rh  0.5000  0.5000  0.5000  4 Si 2.28

=====

Density functional theory data (GGA-PBE) for an optimized crystal structure of Si2TeRh.

## Properties
**Space-group type**: Pmm2
**DOS(E_F)**: 1.3 states/eV/cell
**Formation energy (no corrections)**: 0.2 eV per formula unit
**M_tot**: 0.00 μB/f.u.

abc: 3.0238 3.1845 7.8868
angles: 90.00 90.00 90.00
Closest atoms and distances in Å follow each position.
Positions (direct):
Si  0.0000  0.0000  0.0000  4 Rh 2.49, 4 Si 2.63
Si  0.5000  0.5000  0.1836  1 Rh 2.62, 4 Si 2.63
Te  0.0000  0.0000  0.5756  4 Te 3.02-3.18, 4 Rh 3.09, 1 Si 3.35
Rh  0.5000  0.5000  0.8510  5 Si 2.49-2.62

=====

Density functional theory data (GGA-PBE) for an optimized crystal structure of SiTeRh4.

## Properties
**Space-group type**: F-43m
**DOS(E_F)**: 9.9 states/eV/cell
**Formation energy (no corrections)**: 2.1 eV per formula unit
**M_tot**: 0.00 μB/f.u.

abc: 5.2090 5.2090 5.2090
angles: 60.00 60.00 60.00
Closest atoms and distances in Å follow each position.
Positions (direct):
Si  0.0000  0.0000  0.0000  12 Rh 3.05, 4 Te 3.19
Te  0.7500  0.7500  0.7500  12 Rh 3.05, 4 Si 3.19
Rh  0.3749  0.3749  0.3749  6 Rh 2.60-2.61
Rh  0.3749  0.3749  0.8754  6 Rh 2.60-2.61
Rh  0.3749  0.8754  0.3749  6 Rh 2.60-2.61
Rh  0.8754  0.3749  0.3749  6 Rh 2.60-2.61

=====

Density functional theory data (GGA-PBE) for an optimized crystal structure of Si4TeRh.

## Properties
**Space-group type**: F-43m
**DOS(E_F)**: 2.8 states/eV/cell
**Formation energy (no corrections)**: 3.5 eV per formula unit
**M_tot**: 0.00 μB/f.u.

abc: 5.2276 5.2276 5.2276
angles: 60.00 60.00 60.00
Closest atoms and distances in Å follow each position.
Positions (direct):
Si  0.1254  0.1254  0.1254  6 Si 2.61-2.62
Si  0.1254  0.1254  0.6239  6 Si 2.61-2.62
Si  0.1254  0.6239  0.1254  6 Si 2.61-2.62
Si  0.6239  0.1254  0.1254  6 Si 2.61-2.62
Te  0.7500  0.7500  0.7500  12 Si 3.07, 4 Rh 3.20
Rh  0.5000  0.5000  0.5000  12 Si 3.06, 4 Te 3.20

=====

Density functional theory data (GGA-PBE) for an optimized crystal structure of Si2TeRh.

## Properties
**Space-group type**: P2/m
**DOS(E_F)**: 2.0 states/eV/cell
**Formation energy (no corrections)**: 1.4 eV per formula unit
**M_tot**: 0.00 μB/f.u.

abc: 4.3574 3.4107 4.8900
angles: 90.00 103.48 90.00
Closest atoms and distances in Å follow each position.
Positions (direct):
Si  0.0000  0.0000  0.0000  4 Si 2.77, 2 Rh 2.87, 4 Te 2.98
Si  0.5000  0.5000  0.0000  4 Si 2.77, 2 Te 2.87, 4 Rh 2.98
Te  0.0000  0.5000  0.5000  4 Rh 2.77, 6 Si 2.87-2.98
Rh  0.5000  0.0000  0.5000  4 Te 2.77, 6 Si 2.87-2.98

=====

Question: Which formula does entry 2 have?
Answer: Si2TeRh

=====

Question: What is the formation energy (no corrections) in the fourth record?
Answer: 2.1 eV per formula unit